w) This record from Alexandria describes an optimized crystal structure of Li2TaZn2. The functional is PBE.

Structure (POSCAR):
```
Li2TaZn2
1.0
7.4136 0.0000 0.0000
0.0000 7.4136 0.0000
0.0000 0.0000 2.6386
Li Ta Zn
4 2 4
Direct
0.1167 0.3833 0.0000
0.3833 0.8833 0.0000
0.6167 0.1167 0.0000
0.8833 0.6167 0.0000
0.0000 0.0000 0.0000
0.5000 0.5000 0.0000
0.1847 0.6847 0.5000
0.3153 0.1847 0.5000
0.6847 0.8153 0.5000
0.8153 0.3153 0.5000
```

Output
The value obtained for the calculated density is 7.46 g/cm3. As for the symmetry: P4/mbm, No. 127.

***

x) This record from Alexandria describes an optimized crystal structure of Li2TaZn2. The functional is PBE.

Structure (POSCAR):
```
Li2TaZn2
1.0
7.4635 0.0000 0.0000
0.0000 7.4635 0.0000
0.0000 0.0000 2.6790
Li Ta Zn
4 2 4
Direct
0.1631 0.3369 0.0000
0.3369 0.8369 0.0000
0.6631 0.1631 0.0000
0.8369 0.6631 0.0000
0.0000 0.0000 0.5000
0.5000 0.5000 0.5000
0.1367 0.6367 0.5000
0.3633 0.1367 0.5000
0.6367 0.8633 0.5000
0.8633 0.3633 0.5000
```

Output
The value obtained for the calculated density is 7.25 g/cm3. As for the symmetry: P4/mbm, No. 127.

***

Stability summary: most stable w), least stable x).

***

w) This record from Alexandria describes an optimized crystal structure of LiTa2Zn2. The functional is PBE.

Structure (POSCAR):
```
LiTa2Zn2
1.0
7.9102 0.0000 0.0000
0.0000 7.9102 0.0000
0.0000 0.0000 2.8666
Li Ta Zn
2 4 4
Direct
0.0000 0.0000 0.0000
0.5000 0.5000 0.0000
0.1208 0.3792 0.5000
0.3792 0.8792 0.5000
0.6208 0.1208 0.5000
0.8792 0.6208 0.5000
0.1760 0.6760 0.0000
0.3240 0.1760 0.0000
0.6760 0.8240 0.0000
0.8240 0.3240 0.0000
```

Output
The value obtained for the calculated density is 9.25 g/cm3. As for the symmetry: P4/mbm, No. 127.

***

x) This record from Alexandria describes an optimized crystal structure of LiTa2Zn2. The functional is PBE.

Structure (POSCAR):
```
LiTa2Zn2
1.0
8.1370 0.0000 0.0000
0.0000 8.1370 0.0000
0.0000 0.0000 2.7497
Li Ta Zn
2 4 4
Direct
0.0000 0.0000 0.0000
0.5000 0.5000 0.0000
0.1163 0.3837 0.0000
0.3837 0.8837 0.0000
0.6163 0.1163 0.0000
0.8837 0.6163 0.0000
0.1793 0.6793 0.5000
0.3207 0.1793 0.5000
0.6793 0.8207 0.5000
0.8207 0.3207 0.5000
```

Output
The value obtained for the calculated density is 9.11 g/cm3. As for the symmetry: P4/mbm, No. 127.

***

Stability summary: most stable w), least stable x).

***

w) This record from Alexandria describes an optimized crystal structure of LiZrTa2. The functional is PBE.

Structure (POSCAR):
```
LiZrTa2
1.0
2.8761 -4.8596 0.0000
2.8761 4.8596 0.0000
0.0000 0.0000 2.7112
Li Zr Ta
1 1 2
Direct
0.0000 0.0000 0.0000
0.5000 0.5000 0.0000
0.0000 0.5000 0.5000
0.5000 0.0000 0.5000
```

Output
The value obtained for the calculated density is 10.08 g/cm3. As for the symmetry: Cmmm, No. 65.

***

x) This record from Alexandria describes an optimized crystal structure of LiZrTa2. The functional is PBE.

Structure (POSCAR):
```
LiZrTa2
1.0
1.4379 0.8302 10.7896
-1.4379 0.8302 10.7896
0.0000 -1.6604 10.7896
Li Zr Ta
1 1 2
Direct
0.0000 0.0000 0.0000
0.5000 0.5000 0.5000
0.2526 0.2526 0.2526
0.7474 0.7474 0.7474
```

Output
The value obtained for the calculated density is 9.89 g/cm3. As for the symmetry: R-3m, No. 166.

***

Stability summary: most stable x), least stable w).

***

w) This record from Alexandria describes an optimized crystal structure of LiZrTa2. The functional is PBE.

Structure (POSCAR):
```
LiZrTa2
1.0
-2.0320 2.0320 4.4839
2.0320 -2.0320 4.4839
2.0320 2.0320 -4.4839
Li Zr Ta
1 1 2
Direct
0.0000 0.0000 0.0000
0.5000 0.5000 0.0000
0.2500 0.7500 0.5000
0.7500 0.2500 0.5000
```

Output
The value obtained for the calculated density is 10.32 g/cm3. As for the symmetry: I4/mmm, No. 139.

***

x) This record from Alexandria describes an optimized crystal structure of LiZrTa2. The functional is PBE.

Structure (POSCAR):
```
LiZrTa2
1.0
3.4040 0.0000 0.0000
0.0000 3.4040 0.0000
0.0000 0.0000 6.4176
Li Zr Ta
1 1 2
Direct
0.0000 0.0000 0.0000
0.5000 0.5000 0.7309
0.0000 0.0000 0.4620
0.5000 0.5000 0.2410
```

Output
The value obtained for the calculated density is 10.27 g/cm3. As for the symmetry: P4mm, No. 99.

***

Stability summary: most stable x), least stable w).

***

w) This record from Alexandria describes an optimized crystal structure of LiZrTa2. The functional is PBE.

Structure (POSCAR):
```
LiZrTa2
1.0
2.6909 0.0000 0.0000
0.0000 4.7852 0.0000
-1.0388 0.0000 5.9072
Li Zr Ta
1 1 2
Direct
0.0000 0.0000 0.0000
0.2901 0.5000 0.7520
0.5658 0.0000 0.4734
0.8894 0.5000 0.2612
```

Output
The value obtained for the calculated density is 10.04 g/cm3. As for the symmetry: Pm, No. 6.

***

x) This record from Alexandria describes an optimized crystal structure of LiZrTa2. The functional is PBE.

Structure (POSCAR):
```
LiZrTa2
1.0
3.4609 0.0000 0.0000
0.0000 4.4548 0.0000
0.0000 0.0000 4.7640
Li Zr Ta
1 1 2
Direct
0.0000 0.0000 0.0000
0.5000 0.5000 0.0000
0.0000 0.5000 0.5000
0.5000 0.0000 0.5000
```

Output
The value obtained for the calculated density is 10.40 g/cm3. As for the symmetry: Pmmm, No. 47.

***

y) This record from Alexandria describes an optimized crystal structure of LiZrTa2. The functional is PBE.

Structure (POSCAR):
```
LiZrTa2
1.0
0.0000 3.3169 3.3169
3.3169 0.0000 3.3169
3.3169 3.3169 0.0000
Li Zr Ta
1 1 2
Direct
0.0000 0.0000 0.0000
0.5000 0.5000 0.5000
0.2500 0.2500 0.2500
0.7500 0.7500 0.7500
```

Output
The value obtained for the calculated density is 10.47 g/cm3. As for the symmetry: Fm-3m, No. 225.

***

Stability summary: most stable w), least stable y).

***

w) This record from Alexandria describes an optimized crystal structure of LiZrTa2. The functional is PBE.

Structure (POSCAR):
```
LiZrTa2
1.0
2.6930 0.0000 0.0000
0.0000 5.1035 0.0000
-0.7580 0.0000 5.4902
Li Zr Ta
1 1 2
Direct
0.0000 0.0000 0.0000
0.5000 0.0000 0.5000
0.2099 0.5000 0.7497
0.7901 0.5000 0.2503
```

Output
The value obtained for the calculated density is 10.12 g/cm3. As for the symmetry: P2/m, No. 10.

***

x) This record from Alexandria describes an optimized crystal structure of LiZrTa2. The functional is PBE.

Structure (POSCAR):
```
LiZrTa2
1.0
-3.7258 3.7258 2.7129
3.7258 -3.7258 2.7129
3.7258 3.7258 -2.7129
Li Zr Ta
2 2 4
Direct
0.0000 0.0000 0.0000
0.7500 0.2500 0.5000
0.2500 0.7500 0.5000
0.5000 0.5000 0.0000
0.0972 0.6250 0.9722
0.3750 0.3472 0.4722
0.6528 0.1250 0.0278
0.8750 0.9028 0.5278
```

Output
The value obtained for the calculated density is 10.14 g/cm3. As for the symmetry: I-42d, No. 122.

***

Stability summary: most stable w), least stable x).

***

w) This record from Alexandria describes an optimized crystal structure of LiZrTa2. The functional is PBE.

Structure (POSCAR):
```
LiZrTa2
1.0
2.8287 0.0000 0.0000
0.0000 2.8287 0.0000
0.0000 0.0000 9.7884
Li Zr Ta
1 1 2
Direct
0.0000 0.0000 0.0000
0.5000 0.5000 0.7274
0.0000 0.0000 0.4821
0.5000 0.5000 0.2475
```

Output
The value obtained for the calculated density is 9.75 g/cm3. As for the symmetry: P4mm, No. 99.

***

x) This record from Alexandria describes an optimized crystal structure of LiZrTa2. The functional is PBE.

Structure (POSCAR):
```
LiZrTa2
1.0
3.0146 0.0000 0.0000
0.0000 3.7962 0.0000
0.0000 0.0000 6.3722
Li Zr Ta
1 1 2
Direct
0.0000 0.0000 0.0000
0.0000 0.0000 0.5000
0.5000 0.5000 0.2280
0.5000 0.5000 0.7720
```

Output
The value obtained for the calculated density is 10.48 g/cm3. As for the symmetry: Pmmm, No. 47.

***

Stability summary: most stable w), least stable x).

***

w) This record from Alexandria describes an optimized crystal structure of LiZrTa2. The functional is PBE.

Structure (POSCAR):
```
LiZrTa2
1.0
1.6626 -2.3475 0.0000
1.6626 2.3475 0.0000
0.0000 0.0000 10.0573
Li Zr Ta
1 1 2
Direct
0.0000 0.0000 0.0000
0.5000 0.5000 0.2760
0.0000 0.0000 0.5222
0.5000 0.5000 0.7471
```

Output
The value obtained for the calculated density is 9.73 g/cm3. As for the symmetry: Cmm2, No. 35.

***

x) This record from Alexandria describes an optimized crystal structure of LiZrTa2. The functional is PBE.

Structure (POSCAR):
```
LiZrTa2
1.0
1.5483 -2.3667 0.0000
1.5483 2.3667 0.0000
0.0000 0.0000 10.4964
Li Zr Ta
1 1 2
Direct
0.0000 0.0000 0.0000
0.0000 0.0000 0.5000
0.5000 0.5000 0.2479
0.5000 0.5000 0.7521
```

Output
The value obtained for the calculated density is 9.93 g/cm3. As for the symmetry: Cmmm, No. 65.

***

y) This record from Alexandria describes an optimized crystal structure of LiZrTa2. The functional is PBE.

Structure (POSCAR):
```
LiZrTa2
1.0
2.8137 0.0000 0.0000
0.0000 2.8137 0.0000
0.0000 0.0000 9.6250
Li Zr Ta
1 1 2
Direct
0.0000 0.0000 0.0000
0.0000 0.0000 0.5000
0.5000 0.5000 0.2471
0.5000 0.5000 0.7529
```

Output
The value obtained for the calculated density is 10.03 g/cm3. As for the symmetry: P4/mmm, No. 123.

***

z) This record from Alexandria describes an optimized crystal structure of LiZrTa2. The functional is PBE.

Structure (POSCAR):
```
LiZrTa2
1.0
-1.6384 2.2953 4.8827
1.6384 -2.2953 4.8827
1.6384 2.2953 -4.8827
Li Zr Ta
1 1 2
Direct
0.0000 0.0000 0.0000
0.5000 0.5000 0.0000
0.2346 0.7346 0.5000
0.7654 0.2654 0.5000
```

Output
The value obtained for the calculated density is 10.40 g/cm3. As for the symmetry: Immm, No. 71.

***

Stability summary: most stable w), least stable y).